(1)
Below is a relaxed MnPtPb2 crystal, with properties calculated at the PBE level.

a b c (Å): 3.8449 4.2448 5.7237
angles (deg): 90.00 109.56 90.00
Space group Pm (No. 6)
One atom of each set of equivalent atoms:
Mn (0.0000, 0.0000, 0.0000) [1 per cell]
Pt (0.8541, 0.5000, 0.7105) [1 per cell]
Pb (0.2734, 0.0000, 0.5498) [1 per cell]
Pb (0.5728, 0.5000, 0.1440) [1 per cell]

Output
Fermi-level density of states   2.6 states/eV/cell
Energy relative to the lowest polymorph listed for this composition   87 meV/atom
Calculated formation energy   0.18 eV per formula unit

=====

(2)
Below is a relaxed MnPt2Pb crystal, with properties calculated at the PBE level.

a b c (Å): 3.5881 3.5881 5.7228
angles (deg): 90.00 90.00 90.00
Space group P4mm (No. 99)
One atom of each set of equivalent atoms:
Mn (0.0000, 0.0000, 0.0000) [1 per cell]
Pt (0.0000, 0.0000, 0.5457) [1 per cell]
Pt (0.5000, 0.5000, 0.8346) [1 per cell]
Pb (0.5000, 0.5000, 0.3249) [1 per cell]

Output
Fermi-level density of states   2.6 states/eV/cell
Calculated formation energy   -0.12 eV per formula unit

=====

(3)
Below is a relaxed MnPt4Pb crystal, with properties calculated at the PBE level.

a b c (Å): 7.6110 7.6110 7.6110
angles (deg): 90.00 90.00 90.00
Space group F-43m (No. 216)
One atom of each set of equivalent atoms:
Mn (0.0000, 0.0000, 0.0000) [4 per cell]
Pt (0.1254, 0.1254, 0.3746) [16 per cell]
Pb (0.2500, 0.2500, 0.7500) [4 per cell]

Output
Fermi-level density of states   23.3 states/eV/cell
Calculated formation energy   -0.49 eV per formula unit

=====

(4)
Below is a relaxed MnPtPb2 crystal, with properties calculated at the PBE level.

a b c (Å): 7.8843 7.8843 6.1210
angles (deg): 90.00 90.00 90.00
Space group I-42d (No. 122)
One atom of each set of equivalent atoms:
Mn (0.0000, 0.0000, 0.0000) [4 per cell]
Pt (0.0000, 0.0000, 0.5000) [4 per cell]
Pb (0.2299, 0.2500, 0.6250) [8 per cell]

Output
Fermi-level density of states   9.1 states/eV/cell
Energy relative to the lowest polymorph listed for this composition   352 meV/atom
Calculated formation energy   1.24 eV per formula unit

=====

(5)
Below is a relaxed MnPtPb2 crystal, with properties calculated at the PBE level.

a b c (Å): 7.0714 7.0714 7.0714
angles (deg): 90.00 90.00 90.00
Space group F-43m (No. 216)
One atom of each set of equivalent atoms:
Mn (0.0000, 0.0000, 0.0000) [4 per cell]
Pt (0.2500, 0.2500, 0.2500) [4 per cell]
Pb (0.0000, 0.0000, 0.5000) [4 per cell]
Pb (0.2500, 0.2500, 0.7500) [4 per cell]

Output
Fermi-level density of states   12.5 states/eV/cell
Energy relative to the lowest polymorph listed for this composition   360 meV/atom
Calculated formation energy   1.27 eV per formula unit

=====

(6)
Below is a relaxed Mn4PtPb crystal, with properties calculated at the PBE level.

a b c (Å): 7.0473 7.0473 7.0473
angles (deg): 90.00 90.00 90.00
Space group F-43m (No. 216)
One atom of each set of equivalent atoms:
Mn (0.1250, 0.1250, 0.1250) [16 per cell]
Pt (0.0000, 0.0000, 0.5000) [4 per cell]
Pb (0.2500, 0.2500, 0.7500) [4 per cell]

Output
Fermi-level density of states   36.4 states/eV/cell
Calculated formation energy   2.16 eV per formula unit

=====

(7)
Below is a relaxed MnPtPb2 crystal, with properties calculated at the PBE level.

a b c (Å): 3.3690 3.3690 8.0786
angles (deg): 90.00 90.00 90.00
Space group P4mm (No. 99)
One atom of each set of equivalent atoms:
Mn (0.0000, 0.0000, 0.0000) [1 per cell]
Pt (0.5000, 0.5000, 0.8523) [1 per cell]
Pb (0.0000, 0.0000, 0.6144) [1 per cell]
Pb (0.5000, 0.5000, 0.2389) [1 per cell]

Output
Fermi-level density of states   1.6 states/eV/cell
Energy relative to the lowest polymorph listed for this composition   0 meV/atom
Calculated formation energy   -0.17 eV per formula unit

=====

(8)
Below is a relaxed MnPt2Pb crystal, with properties calculated at the PBE level.

a b c (Å): 6.5602 6.5602 6.5602
angles (deg): 90.00 90.00 90.00
Space group F-43m (No. 216)
One atom of each set of equivalent atoms:
Mn (0.0000, 0.0000, 0.0000) [4 per cell]
Pt (0.0000, 0.0000, 0.5000) [4 per cell]
Pt (0.2500, 0.2500, 0.7500) [4 per cell]
Pb (0.2500, 0.2500, 0.2500) [4 per cell]

Output
Fermi-level density of states   13.0 states/eV/cell
Calculated formation energy   0.10 eV per formula unit

=====

(9)
Below is a relaxed MnPt2Pb crystal, with properties calculated at the PBE level.

a b c (Å): 4.0449 4.0449 8.6543
angles (deg): 90.00 90.00 90.00
Space group I-4m2 (No. 119)
One atom of each set of equivalent atoms:
Mn (0.0000, 0.0000, 0.0000) [2 per cell]
Pt (0.0000, 0.0000, 0.5000) [2 per cell]
Pt (0.0000, 0.5000, 0.2500) [2 per cell]
Pb (0.0000, 0.5000, 0.7500) [2 per cell]

Output
Fermi-level density of states   3.8 states/eV/cell
Calculated formation energy   -0.28 eV per formula unit

=====

(10)
Below is a relaxed MnPt3Pb crystal, with properties calculated at the PBE level.

a b c (Å): 4.6685 4.6685 4.6685
angles (deg): 90.00 90.00 90.00
Space group Pm-3m (No. 221)
One atom of each set of equivalent atoms:
Mn (0.0000, 0.0000, 0.0000) [1 per cell]
Pt (0.0000, 0.0000, 0.5000) [3 per cell]
Pb (0.5000, 0.5000, 0.5000) [1 per cell]

Output
Fermi-level density of states   6.6 states/eV/cell
Energy relative to the lowest polymorph listed for this composition   0 meV/atom
Calculated formation energy   3.21 eV per formula unit

=====

(11)
Below is a relaxed MnPtPb2 crystal, with properties calculated at the PBE level.

a b c (Å): 3.8773 3.8773 22.1676
angles (deg): 90.00 90.00 120.00
Space group R-3m (No. 166, hexagonal axes)
One atom of each set of equivalent atoms:
Mn (0.0000, 0.0000, 0.0000) [3 per cell]
Pt (0.0000, 0.0000, 0.5000) [3 per cell]
Pb (0.0000, 0.0000, 0.2432) [6 per cell]

Output
Fermi-level density of states   5.6 states/eV/cell
Energy relative to the lowest polymorph listed for this composition   330 meV/atom
Calculated formation energy   1.15 eV per formula unit

=====

(12)
Below is a relaxed MnPt2Pb crystal, with properties calculated at the PBE level.

a b c (Å): 3.2086 3.2392 7.0031
angles (deg): 90.00 90.91 90.00
Space group P2/m (No. 10)
One atom of each set of equivalent atoms:
Mn (0.0000, 0.0000, 0.0000) [1 per cell]
Pt (0.4919, 0.5000, 0.7946) [2 per cell]
Pb (0.0000, 0.0000, 0.5000) [1 per cell]

Output
Fermi-level density of states   2.0 states/eV/cell
Calculated formation energy   -0.63 eV per formula unit

=====

(13)
Below is a relaxed MnPtPb2 crystal, with properties calculated at the PBE level.

a b c (Å): 3.4387 4.8562 10.8076
angles (deg): 90.00 90.00 90.00
Space group Imm2 (No. 44)
One atom of each set of equivalent atoms:
Mn (0.0000, 0.0000, 0.0000) [2 per cell]
Pt (0.0000, 0.5000, 0.3220) [2 per cell]
Pb (0.0000, 0.0000, 0.5665) [2 per cell]
Pb (0.0000, 0.5000, 0.7800) [2 per cell]

Output
Fermi-level density of states   4.1 states/eV/cell
Energy relative to the lowest polymorph listed for this composition   160 meV/atom
Calculated formation energy   0.47 eV per formula unit

=====

(14)
Below is a relaxed MnPtPb2 crystal, with properties calculated at the PBE level.

a b c (Å): 6.8009 6.8009 6.8009
angles (deg): 90.00 90.00 90.00
Space group Fm-3m (No. 225)
One atom of each set of equivalent atoms:
Mn (0.0000, 0.0000, 0.0000) [4 per cell]
Pt (0.0000, 0.0000, 0.5000) [4 per cell]
Pb (0.2500, 0.2500, 0.2500) [8 per cell]

Output
Fermi-level density of states   43.0 states/eV/cell
Energy relative to the lowest polymorph listed for this composition   650 meV/atom
Calculated formation energy   2.43 eV per formula unit

=====

(15)
Below is a relaxed MnPt2Pb crystal, with properties calculated at the PBE level.

a b c (Å): 3.4881 4.4820 4.6321
angles (deg): 90.00 90.00 90.00
Space group Pmm2 (No. 25)
One atom of each set of equivalent atoms:
Mn (0.0000, 0.0000, 0.0000) [1 per cell]
Pt (0.5000, 0.0000, 0.4554) [1 per cell]
Pt (0.5000, 0.5000, 0.0411) [1 per cell]
Pb (0.0000, 0.5000, 0.5444) [1 per cell]

Output
Fermi-level density of states   2.2 states/eV/cell
Calculated formation energy   -0.18 eV per formula unit

=====

(16)
Below is a relaxed MnPt2Pb crystal, with properties calculated at the PBE level.

a b c (Å): 3.0297 3.0297 27.8712
angles (deg): 90.00 90.00 120.00
Space group R-3m (No. 166, hexagonal axes)
One atom of each set of equivalent atoms:
Mn (0.0000, 0.0000, 0.0000) [3 per cell]
Pt (0.0000, 0.0000, 0.2615) [6 per cell]
Pb (0.0000, 0.0000, 0.5000) [3 per cell]

Output
Fermi-level density of states   3.8 states/eV/cell
Calculated formation energy   0.04 eV per formula unit

=====

(17)
Below is a relaxed MnPtPb2 crystal, with properties calculated at the PBE level.

a b c (Å): 8.7583 3.5989 5.8165
angles (deg): 90.00 102.76 90.00
Space group C2/m (No. 12)
One atom of each set of equivalent atoms:
Mn (0.0000, 0.0000, 0.0000) [2 per cell]
Pt (0.0000, 0.5000, 0.5000) [2 per cell]
Pb (0.2411, 0.0000, 0.7408) [4 per cell]

Output
Fermi-level density of states   4.6 states/eV/cell
Energy relative to the lowest polymorph listed for this composition   294 meV/atom
Calculated formation energy   1.01 eV per formula unit

=====

(18)
Below is a relaxed MnPtPb2 crystal, with properties calculated at the PBE level.

a b c (Å): 3.8503 4.6839 4.7816
angles (deg): 90.00 90.00 90.00
Space group Pmmm (No. 47)
One atom of each set of equivalent atoms:
Mn (0.0000, 0.0000, 0.0000) [1 per cell]
Pt (0.0000, 0.5000, 0.5000) [1 per cell]
Pb (0.5000, 0.0000, 0.5000) [1 per cell]
Pb (0.5000, 0.5000, 0.0000) [1 per cell]

Output
Fermi-level density of states   2.6 states/eV/cell
Energy relative to the lowest polymorph listed for this composition   245 meV/atom
Calculated formation energy   0.81 eV per formula unit

=====

(19)
Below is a relaxed MnPt2Pb crystal, with properties calculated at the PBE level.

a b c (Å): 9.3440 3.7015 4.3983
angles (deg): 90.00 108.82 90.00
Space group Cm (No. 8)
One atom of each set of equivalent atoms:
Mn (0.0000, 0.0000, 0.0000) [2 per cell]
Pt (0.0073, 0.5000, 0.5294) [2 per cell]
Pt (0.2677, 0.0000, 0.8525) [2 per cell]
Pb (0.2608, 0.5000, 0.3314) [2 per cell]

Output
Fermi-level density of states   3.5 states/eV/cell
Calculated formation energy   -0.28 eV per formula unit

=====

(20)
Below is a relaxed MnPtPb2 crystal, with properties calculated at the PBE level.

a b c (Å): 8.5322 3.6104 6.3610
angles (deg): 90.00 102.52 90.00
Space group Cm (No. 8)
One atom of each set of equivalent atoms:
Mn (0.0000, 0.0000, 0.0000) [2 per cell]
Pt (0.2806, 0.0000, 0.8714) [2 per cell]
Pb (0.0375, 0.5000, 0.6258) [2 per cell]
Pb (0.2541, 0.5000, 0.2389) [2 per cell]

Output
Fermi-level density of states   4.9 states/eV/cell
Energy relative to the lowest polymorph listed for this composition   115 meV/atom
Calculated formation energy   0.29 eV per formula unit